[1]
A geometry-optimized BaFeTeN2 structure. Source: Alexandria, functional PBE-GGA.

Geometry as POSCAR:
```
BaFeTeN2
1.0
4.380 0.000 0.000
0.000 4.380 0.000
0.000 0.000 5.111
Ba Fe Te N
1 1 1 2
direct
0.000 0.000 0.000
0.500 0.500 0.500
0.500 0.500 0.000
0.000 0.500 0.500
0.500 0.000 0.500
```

Results
Its total moment is 4.78 Bohr magnetons per cell. The value obtained for the uncorrected formation energy is 0.6841 eV per atom.

***

[2]
A geometry-optimized TcPtI3 structure. Source: Alexandria, functional PBE-GGA.

Geometry as POSCAR:
```
TcPtI3
1.0
5.482 0.000 0.000
0.000 5.482 0.000
0.000 0.000 5.482
Tc Pt I
1 1 3
direct
0.000 0.000 0.000
0.500 0.500 0.500
0.000 0.500 0.500
0.500 0.000 0.500
0.500 0.500 0.000
```

Results
Its total moment is 5.01 Bohr magnetons per cell. The value obtained for the uncorrected formation energy is 0.9041 eV per atom.

***

[3]
A geometry-optimized CoCu3Ni7 structure. Source: Alexandria, functional PBE-GGA.

Geometry as POSCAR:
```
CoCu3Ni7
1.0
4.187 -4.102 0.000
4.187 4.102 0.000
-1.885 0.000 3.950
Co Cu Ni
1 3 7
direct
0.000 0.000 0.000
0.294 0.706 0.500
0.500 0.500 0.000
0.706 0.294 0.500
0.000 0.000 0.500
0.083 0.575 0.832
0.281 0.281 0.439
0.425 0.917 0.168
0.575 0.083 0.832
0.719 0.719 0.561
0.917 0.425 0.168
```

Results
Its total moment is 5.48 Bohr magnetons per cell. For the formation energy from the elements, the calculation gives 0.363 eV per atom.

***

[4]
A geometry-optimized Mn2FeRu structure. Source: Alexandria, functional PBE-GGA.

Geometry as POSCAR:
```
Mn2FeRu
1.0
2.892 0.000 0.000
0.000 4.126 0.000
0.000 0.000 8.175
Mn Fe Ru
4 2 2
direct
0.000 0.000 0.244
0.000 0.000 0.756
0.500 0.500 0.256
0.500 0.500 0.744
0.000 0.500 0.500
0.500 0.000 0.000
0.000 0.500 0.000
0.500 0.000 0.500
```

Results
Its total moment is 12.02 Bohr magnetons per cell. For the formation energy from the elements, the calculation gives 0.154 eV per atom.

***

[5]
A geometry-optimized Li3ZrNb structure. Source: Alexandria, functional PBE-GGA.

Geometry as POSCAR:
```
Li3ZrNb
1.0
4.689 0.000 0.000
0.000 4.689 0.000
0.000 0.000 4.689
Li Zr Nb
3 1 1
direct
0.000 0.000 0.500
0.000 0.500 0.000
0.500 0.000 0.000
0.500 0.500 0.500
0.000 0.000 0.000
```

Results
Its total moment is 1.12 Bohr magnetons per cell. For the formation energy from the elements, the calculation gives 1.314 eV per atom.

***

[6]
A geometry-optimized Ca3Cl structure. Source: Alexandria, functional PBE-GGA.

Geometry as POSCAR:
```
Ca3Cl
1.0
7.035 0.000 0.000
0.000 10.814 0.000
0.000 0.000 3.818
Ca Cl
6 2
direct
0.000 0.000 0.000
0.250 0.250 0.500
0.250 0.750 0.500
0.500 0.500 0.000
0.750 0.250 0.500
0.750 0.750 0.500
0.000 0.500 0.000
0.500 0.000 0.000
```

Results
Its total moment is 0.00 Bohr magnetons per cell. The value obtained for the uncorrected formation energy is -0.4414 eV per atom.

***

V: 19.6, 32.9, 12.3, 12.2, 20.6, 36.3 (Å³/atom)